CrCdAu: optimized geometry, PBE-GGA.

```
3
Lattice="-1.9098 -4.2426 0.2412 0.9864 1.8782 -4.1479 2.7065 -1.2130 0.0944" Properties=species:S:1:pos:R:3 pbc="T T T"
Au 0.0153 -0.0069 0.0005
Cd -0.1276 -2.5685 -1.1933
Cr 1.8954 -1.0021 -2.6195
```

## Properties
The crystal system is trigonal. The calculated formation energy is 22 kJ/mol of atoms.